Entry 1:
5
Lattice="4.206 0.000 0.000 0.000 4.206 0.000 0.000 0.000 4.338" Properties=species:S:1:pos:R:3 comment="PBE SbP2SN, relaxed" de_polymorph_mev_per_atom=0 density_kg_m3=4973 total_energy_ev_per_cell=-22.854 e_form_raw_mev_per_atom=908 space_group="P4/mmm, No. 123" pbc="T T T"
P 0.000 2.103 0.000
P 2.103 0.000 0.000
Sb 2.103 2.103 2.169
S 0.000 0.000 2.169
N 0.000 0.000 0.000


Entry 2:
3
Lattice="7.341 0.156 -0.008 5.411 4.962 0.009 -6.372 -2.568 2.589" Properties=species:S:1:pos:R:3 comment="PBE BaYFe, relaxed" de_polymorph_mev_per_atom=0 density_kg_m3=5084 total_energy_ev_per_cell=-15.644 delta_e_f_ev_per_atom=0.40 space_group="I4mm, No. 107" pbc="T T T"
Ba 0.348 0.140 0.000
Y 3.630 1.457 0.000
Fe 2.401 0.954 2.590


Entry 3:
4
Lattice="3.874 0.000 0.000 0.000 2.580 0.002 0.000 2.566 5.188" Properties=species:S:1:pos:R:3 comment="PBE Mn2NiAg, relaxed" de_polymorph_mev_per_atom=269 density_kg_m3=8858 total_energy_ev_per_cell=-25.304 delta_e_f_ev_per_atom=0.42 space_group="P2/m, No. 10" pbc="T T T"
Ni 1.937 1.286 1.297
Mn 0.000 2.582 0.313
Mn 0.000 2.571 2.284
Ag 1.937 3.859 3.892


Entry 4:
4
Lattice="-1.868 3.677 -0.793 -1.450 -1.609 -4.045 -3.683 -3.670 2.780" Properties=species:S:1:pos:R:3 comment="PBE AcNdZnRh, relaxed" de_polymorph_mev_per_atom=0 density_kg_m3=8440 total_energy_ev_per_cell=-19.350 delta_e_f_ev_per_atom=-0.46 space_group="Amm2, No. 38" pbc="T T T"
Nd -0.266 -0.106 0.138
Rh -4.999 -2.500 0.184
Ac -3.957 0.122 -1.232
Zn -3.037 -1.205 1.568


Entry 5:
5
Lattice="-3.340 4.111 -1.873 0.039 -2.303 -5.124 -4.518 -3.059 1.340" Properties=species:S:1:pos:R:3 comment="PBE YMnBr3, relaxed" de_polymorph_mev_per_atom=0 density_kg_m3=3592 total_energy_ev_per_cell=-23.967 e_form_raw_mev_per_atom=-663 space_group="Pm-3m, No. 221" pbc="T T T"
Br 0.019 -1.151 -2.562
Br -1.670 2.056 -0.936
Br -2.259 -1.530 0.670
Y 0.000 0.000 0.000
Mn -3.909 -0.625 -2.828


Entry 6:
16
Lattice="3.511 0.000 0.000 -1.756 6.131 0.000 0.000 0.000 12.066" Properties=species:S:1:pos:R:3 comment="PBE BaY2RuN4, relaxed" density_kg_m3=6038 total_energy_ev_per_cell=-128.889 e_form_raw_mev_per_atom=-877 space_group="Cmcm, No. 63" pbc="T T T"
N 1.756 1.293 3.016
N 0.000 3.128 4.714
N 1.756 3.003 7.352
N 0.000 0.000 0.000
N 0.000 4.838 9.049
N 0.000 0.000 6.033
N 1.756 3.003 10.747
N 0.000 3.128 1.319
Ba 0.000 0.959 9.049
Ba 1.756 5.172 3.016
Ru 1.756 3.852 9.049
Ru 0.000 2.279 3.016
Y 0.000 4.535 11.561
Y 0.000 4.535 6.538
Y 1.756 1.596 5.528
Y 1.756 1.596 0.505


Entry 7:
4
Lattice="-1.800 1.128 -4.214 -1.818 -4.259 0.906 -2.309 1.268 1.326" Properties=species:S:1:pos:R:3 comment="PBE ReTeRu2, relaxed" density_kg_m3=13439 total_energy_ev_per_cell=-32.008 e_form_raw_mev_per_atom=533 space_group="Cmmm, No. 65" pbc="T T T"
Re -2.064 -1.496 1.116
Ru 0.000 0.000 0.000
Ru -1.809 -1.566 -1.654
Te -2.055 1.198 -1.444


Entry 8:
4
Lattice="-1.002 -2.972 4.266 -3.197 -4.202 -0.393 2.000 -4.890 0.349" Properties=species:S:1:pos:R:3 comment="PBE KLiSnHg, relaxed" density_kg_m3=5779 total_energy_ev_per_cell=-7.969 delta_e_f_ev_per_atom=-0.16 space_group="F-43m, No. 216" pbc="T T T"
K -1.650 -9.049 3.167
Sn -0.550 -3.016 1.056
Li -1.100 -6.032 2.111
Hg 0.000 0.000 0.000


Entry 9:
14
Lattice="6.747 0.004 -0.007 -2.244 6.363 0.007 -2.259 -3.178 5.506" Properties=species:S:1:pos:R:3 comment="PBE Mg2Pd4Pt, relaxed" de_polymorph_mev_per_atom=155 density_kg_m3=9402 total_energy_ev_per_cell=-63.879 delta_e_f_ev_per_atom=-0.28 space_group="I-42d, No. 122" pbc="T T T"
Pd -2.038 4.638 2.066
Pd 2.425 -0.135 1.165
Pd 2.438 4.632 0.210
Pd -0.948 1.445 2.082
Pd 3.579 1.471 3.898
Pd -0.581 -1.169 4.822
Pd 2.793 -1.201 4.799
Pd 1.308 3.077 2.983
Mg -0.017 3.554 0.691
Mg 1.139 0.429 3.440
Mg -1.147 3.199 4.157
Mg 4.513 -0.803 2.724
Pt 0.000 0.000 0.000
Pt 3.374 2.390 1.375


Entry 10:
10
Lattice="-2.111 -4.437 -3.622 -0.462 -5.676 2.198 -5.701 1.187 1.868" Properties=species:S:1:pos:R:3 comment="PBE AcSiPd3, relaxed" de_polymorph_mev_per_atom=0 density_kg_m3=9592 total_energy_ev_per_cell=-58.770 e_form_raw_mev_per_atom=-855 space_group="Cmcm, No. 63" pbc="T T T"
Pd -2.141 -3.924 2.014
Pd -3.506 -1.528 1.331
Pd -2.936 -3.326 -0.793
Pd -5.787 -2.732 0.141
Pd -4.992 -3.330 2.948
Pd -1.571 -5.722 -0.110
Ac -0.458 -1.347 0.506
Ac -4.619 -5.903 0.715
Si -5.034 -3.675 -1.969
Si -2.154 -8.013 -0.433


Entry 11:
10
Lattice="6.933 0.000 0.000 3.467 6.004 0.000 3.467 2.001 5.661" Properties=species:S:1:pos:R:3 comment="PBE Ca6Bi2NO, relaxed" density_kg_m3=4851 total_energy_ev_per_cell=-46.110 e_form_raw_mev_per_atom=-1306 space_group="Fm-3m, No. 225" pbc="T T T"
Ca 5.181 2.991 4.261
Ca 5.181 5.014 1.400
Ca 6.933 1.980 1.400
Ca 8.685 5.014 1.400
Ca 8.685 2.991 4.261
Ca 6.933 6.026 4.261
O 6.933 4.003 2.830
Bi 3.467 2.001 1.415
Bi 10.400 6.004 4.246
N 0.000 0.000 0.000


Entry 12:
19
Lattice="8.827 0.371 0.523 -1.829 8.644 0.523 -1.829 -2.355 8.333" Properties=species:S:1:pos:R:3 comment="PBE TbSm6Dy12, relaxed" de_polymorph_mev_per_atom=246 density_kg_m3=7548 total_energy_ev_per_cell=-79.462 delta_e_f_ev_per_atom=0.46 space_group="R-3m, No. 166" pbc="T T T"
Dy 2.585 -0.878 7.677
Dy 2.585 7.537 1.701
Dy 6.661 4.373 1.701
Dy 2.229 6.012 5.140
Dy 2.229 2.871 7.371
Dy 2.941 3.788 2.008
Dy 5.272 3.650 5.140
Dy 6.661 0.165 4.689
Dy -1.491 6.494 4.689
Dy -1.491 2.287 7.677
Dy 2.941 0.647 4.238
Dy -0.102 3.010 4.238
Sm 5.086 0.610 7.152
Sm 5.840 1.580 2.226
Sm 0.084 6.049 2.226
Sm 0.084 0.108 6.445
Sm 5.086 6.552 2.933
Sm -0.670 5.079 7.152
Tb 0.000 0.000 0.000


Question: Which formula does entry 4 have?
Answer: AcNdZnRh